No. 1
# U2BeSi3

A relaxed structure of U2BeSi3 (GGA-PBE, Alexandria).

The structure in CIF format:
```
data_U2BeSi3
_chemical_formula_sum 'U2 Be1 Si3'
_cell_length_a 3.907
_cell_length_b 3.968
_cell_length_c 6.772
_cell_angle_alpha 90.00
_cell_angle_beta 90.00
_cell_angle_gamma 90.00
_symmetry_space_group_name_H-M 'P m m 2'
_symmetry_Int_Tables_number 25
loop_
_symmetry_equiv_pos_as_xyz
'x,y,z'
'-x,-y,z'
'-x,y,z'
'x,-y,z'
loop_
_atom_site_label
_atom_site_fract_x
_atom_site_fract_y
_atom_site_fract_z
U1 0.000 0.000 0.000
U2 0.500 0.000 0.496
Be1 0.000 0.500 0.671
Si1 0.000 0.500 0.350
Si2 0.500 0.500 0.162
Si3 0.500 0.500 0.816
```

Crystal system ... orthorhombic
Formation energy from raw total energies ... -0.29 eV per atom


No. 2
# InRe2Os2

A relaxed structure of InRe2Os2 (GGA-PBE, Alexandria).

The structure in CIF format:
```
data_InRe2Os2
_chemical_formula_sum 'In2 Re4 Os4'
_cell_length_a 7.694
_cell_length_b 7.694
_cell_length_c 2.797
_cell_angle_alpha 90.00
_cell_angle_beta 90.00
_cell_angle_gamma 90.00
_symmetry_space_group_name_H-M 'P 4/m b m'
_symmetry_Int_Tables_number 127
_symmetry_space_group_name_Hall '-P 4 2ab'
loop_
_atom_site_label
_atom_site_fract_x
_atom_site_fract_y
_atom_site_fract_z
In1 0.000 0.000 0.000
Re1 0.162 0.338 0.500
Os1 0.127 0.627 0.000
```

Energy above the most stable polymorph in this dataset ... 0 meV per atom
E_form ... 32.6 kJ per mole of atoms
Crystal system ... tetragonal


No. 3
# Y6TePt2Se3

A relaxed structure of Y6TePt2Se3 (GGA-PBE, Alexandria).

The structure in CIF format:
```
data_Y6TePt2Se3
_chemical_formula_sum 'Y12 Te2 Pt4 Se6'
_cell_length_a 18.421
_cell_length_b 4.077
_cell_length_c 8.500
_cell_angle_alpha 90.00
_cell_angle_beta 105.76
_cell_angle_gamma 90.00
_symmetry_space_group_name_H-M 'C 1 2/m 1'
_symmetry_Int_Tables_number 12
loop_
_symmetry_equiv_pos_as_xyz
'x,y,z'
'-x,-y,-z'
'-x,y,-z'
'x,-y,z'
'x+1/2,y+1/2,z'
'-x+1/2,-y+1/2,-z'
'-x+1/2,y+1/2,-z'
'x+1/2,-y+1/2,z'
loop_
_atom_site_label
_atom_site_fract_x
_atom_site_fract_y
_atom_site_fract_z
Y1 0.012 0.000 0.272
Y2 0.167 0.500 0.587
Y3 0.176 0.500 0.124
Te1 0.000 0.500 0.000
Pt1 0.173 0.000 0.355
Se1 0.000 0.500 0.500
Se2 0.159 0.000 0.850
```

Crystal system ... monoclinic
Formation energy from raw total energies ... -1.51 eV per atom


No. 4
# CsRbO2

A relaxed structure of CsRbO2 (GGA-PBE, Alexandria).

The structure in CIF format:
```
data_CsRbO2
_chemical_formula_sum 'Cs3 Rb3 O6'
_cell_length_a 4.0776
_cell_length_b 4.0776
_cell_length_c 22.1705
_cell_angle_alpha 90.00
_cell_angle_beta 90.00
_cell_angle_gamma 120.00
_symmetry_space_group_name_H-M 'R -3 m'
_symmetry_Int_Tables_number 166
_symmetry_space_group_name_Hall '-R 3 2"'
loop_
_atom_site_label
_atom_site_fract_x
_atom_site_fract_y
_atom_site_fract_z
Cs1 0.0000 0.0000 0.0000
Rb1 0.0000 0.0000 0.5000
O1 0.0000 0.0000 0.0921
```

Crystal system ... trigonal
Formation energy from raw total energies ... -0.55 eV per atom


No. 5
# Ac6Tl3BiTe2

A relaxed structure of Ac6Tl3BiTe2 (GGA-PBE, Alexandria).

The structure in CIF format:
```
data_Ac6Tl3BiTe2
_chemical_formula_sum 'Ac12 Tl6 Bi2 Te4'
_cell_length_a 21.698
_cell_length_b 4.639
_cell_length_c 10.047
_cell_angle_alpha 90.00
_cell_angle_beta 110.35
_cell_angle_gamma 90.00
_symmetry_space_group_name_H-M 'C 1 2/m 1'
_symmetry_Int_Tables_number 12
loop_
_symmetry_equiv_pos_as_xyz
'x,y,z'
'-x,-y,-z'
'-x,y,-z'
'x,-y,z'
'x+1/2,y+1/2,z'
'-x+1/2,-y+1/2,-z'
'-x+1/2,y+1/2,-z'
'x+1/2,-y+1/2,z'
loop_
_atom_site_label
_atom_site_fract_x
_atom_site_fract_y
_atom_site_fract_z
Ac1 0.002 0.000 0.247
Ac2 0.166 0.500 0.080
Ac3 0.168 0.500 0.577
Tl1 0.000 0.500 0.500
Tl2 0.165 0.000 0.824
Bi1 0.000 0.500 0.000
Te1 0.168 0.000 0.330
```

Crystal system ... monoclinic
Formation energy from raw total energies ... -0.79 eV per atom


No. 6
# Ca2NbAlIr

A relaxed structure of Ca2NbAlIr (GGA-PBE, Alexandria).

The structure in CIF format:
```
data_Ca2NbAlIr
_chemical_formula_sum 'Ca2 Nb1 Al1 Ir1'
_cell_length_a 5.461
_cell_length_b 5.461
_cell_length_c 4.858
_cell_angle_alpha 90.00
_cell_angle_beta 90.00
_cell_angle_gamma 90.00
_symmetry_space_group_name_H-M 'P 4/m m m'
_symmetry_Int_Tables_number 123
_symmetry_space_group_name_Hall '-P 4 2'
loop_
_atom_site_label
_atom_site_fract_x
_atom_site_fract_y
_atom_site_fract_z
Ca1 0.000 0.500 0.000
Nb1 0.000 0.000 0.500
Al1 0.500 0.500 0.500
Ir1 0.000 0.000 0.000
```

E_form ... 35.7 kJ per mole of atoms
Crystal system ... tetragonal